Ac2W3O10 after structural relaxation, computed with GGA+U.

Summary:
V	829.2	Å³ per cell
M_tot	4.0	μB/f.u.
uncorrected energy	-7.815	eV/atom

Cell lengths 18.5010, 6.1284, 7.8620 Å; angles 90.00, 111.53, 90.00 degrees
Last column: nearest neighbours and their distance in Å.
Space group C2/m (No. 12)
Inequivalent atoms, fractional coordinates:
Ac 0.1113 0.0000 0.2051 [4 per cell]  8 O 2.64-2.92
Ac 0.2127 0.0000 0.8295 [4 per cell]  2 O 2.47
W 0.0000 0.2457 0.5000 [4 per cell]  6 O 1.96-2.04
W 0.0805 0.5000 0.9700 [4 per cell]  6 O 2.01-2.13
W 0.1812 0.5000 0.5194 [4 per cell]  6 O 1.87-2.08
O 0.0000 0.2689 0.0000 [4 per cell]  2 W 2.13
O 0.0166 0.0000 0.6816 [4 per cell]  2 W 2.02
O 0.0247 0.5000 0.6798 [4 per cell]  3 W 2.04-2.13
O 0.1091 0.2409 0.5243 [8 per cell]  2 W 1.96-2.08
O 0.1341 0.5000 0.2557 [4 per cell]  2 W 1.93-2.10
O 0.1550 0.2538 0.9885 [8 per cell]  1 W 2.01
O 0.2297 0.5000 0.7737 [4 per cell]  1 W 1.87
O 0.2500 0.2500 0.5000 [4 per cell]  2 W 2.03